A relaxed CrBiCl2F crystal. Source: Alexandria, functional PBE+U.

POSCAR file:
```
CrBiCl2F
1.0
-2.710 -4.428 -2.221
3.349 -3.503 2.897
-2.417 0.049 2.852
Cr Bi Cl F
1 1 2 1
Direct
0.000 0.000 0.500 Cr
0.500 0.500 0.500 Bi
0.500 0.000 0.000 Cl
0.000 0.500 0.000 Cl
0.000 0.000 0.000 F
```

Properties
final energy: -4.082 eV per atom
crystal system: tetragonal
M_tot: 4.216 μB per formula unit